Here is crystalline Pr8IrRh3I4 at its relaxed geometry from Alexandria. Energies are from PBE.

abc: 8.437 9.550 8.437
angles: 116.26 120.00 90.00
Fractional coordinates of all 16 atoms:
Pr  0.228  0.685  0.958
Pr  0.228  0.685  0.456
Pr  0.271  0.315  0.543
Pr  0.730  0.685  0.958
Pr  0.270  0.315  0.042
Pr  0.729  0.685  0.457
Pr  0.772  0.315  0.544
Pr  0.772  0.315  0.042
Ir  0.000  0.500  0.000
Rh  0.500  0.500  0.000
Rh  0.500  0.500  0.500
Rh  0.000  0.500  0.500
I  0.500  0.000  0.000
I  0.500  0.000  0.500
I  0.000  0.000  0.000
I  0.000  0.000  0.500

Properties
**Calculated density**: 7.0 g/cm³
**Raw formation energy**: -0.9419 eV/atom